A crystal of Lu2CoIr relaxed with PBEsol, computed with SCAN.

a = 6.523 Å, b = 6.523 Å, c = 6.523 Å
α = 90.00°, β = 90.00°, γ = 90.00°
Space group Fm-3m (No. 225)
Inequivalent atoms, fractional coordinates:
Lu 0.250 0.250 0.250
Co 0.000 0.000 0.000
Ir 0.000 0.000 0.500

Computed properties:
Density of states at the Fermi level   0.447 states/eV/atom
Formation enthalpy at 0 K   -836 meV per atom
Total DFT energy (no corrections)   -202.44 eV per formula unit